No. 1
Density functional theory data (GGA-PBE) for SrCa2Ac4 after structural relaxation.

Lattice parameters (Å, degrees): 3.9723 3.9723 69.0137 90.00 90.00 120.00
Space group R-3m (No. 166, hexagonal axes)
One atom of each set of equivalent atoms:
1 Sr 0.0000 0.0000 0.0000 [3 per cell]
2 Ca 0.0000 0.0000 0.4293 [6 per cell]
3 Ac 0.0000 0.0000 0.1437 [6 per cell]
4 Ac 0.0000 0.0000 0.2839 [6 per cell]

- N(E_F): 1.53 states/eV/atom
- Total DFT energy (no corrections): -3.12 eV per atom
- ΔH_f (0 K): 0.0365 eV/atom
- Calculated volume: 943 Å³ per cell
- Mass density: 5.7 g cm⁻³

No. 2
Density functional theory data (GGA-PBE) for SrCaAcTb after structural relaxation.

Lattice parameters (Å, degrees): 8.7330 8.7330 8.7330 90.00 90.00 90.00
Space group F-43m (No. 216)
One atom of each set of equivalent atoms:
1 Sr 0.0000 0.0000 0.0000 [4 per cell]
2 Ca 0.2500 0.2500 0.7500 [4 per cell]
3 Ac 0.2500 0.2500 0.2500 [4 per cell]
4 Tb 0.0000 0.0000 0.5000 [4 per cell]

- N(E_F): 0.90 states/eV/atom
- Total DFT energy (no corrections): -2.96 eV per atom
- ΔH_f (0 K): 0.1479 eV/atom
- Calculated volume: 666 Å³ per cell
- Mass density: 5.1 g cm⁻³

No. 3
Density functional theory data (GGA-PBE) for SrCa3Ac2Te6 after structural relaxation.

Lattice parameters (Å, degrees): 20.2062 4.6033 9.3015 90.00 103.52 90.00
Space group C2/m (No. 12)
One atom of each set of equivalent atoms:
1 Sr 0.0000 0.0000 0.0000 [2 per cell]
2 Ca 0.0000 0.0000 0.5000 [2 per cell]
3 Ca 0.1664 0.5000 0.8349 [4 per cell]
4 Ac 0.1685 0.5000 0.3380 [4 per cell]
5 Te 0.0023 0.5000 0.7428 [4 per cell]
6 Te 0.1617 0.0000 0.5958 [4 per cell]
7 Te 0.1698 0.0000 0.0756 [4 per cell]

- N(E_F): 0.36 states/eV/atom
- Total DFT energy (no corrections): -4.49 eV per atom
- Raw formation energy: -19.07 eV per formula unit
- Calculated volume: 841 Å³ per cell
- Mass density: 5.6 g cm⁻³

No. 4
Density functional theory data (GGA-PBE) for Sr2CaAc3Te6 after structural relaxation.

Lattice parameters (Å, degrees): 8.0916 14.0047 8.2192 90.00 109.19 90.00
Space group C2/m (No. 12)
One atom of each set of equivalent atoms:
1 Sr 0.0000 0.1656 0.0000 [4 per cell]
2 Ca 0.0000 0.5000 0.0000 [2 per cell]
3 Ac 0.0000 0.0000 0.5000 [2 per cell]
4 Ac 0.0000 0.3295 0.5000 [4 per cell]
5 Te 0.2422 0.3371 0.2394 [8 per cell]
6 Te 0.2437 0.5000 0.7553 [4 per cell]

- N(E_F): 0.44 states/eV/atom
- Total DFT energy (no corrections): -4.62 eV per atom
- Raw formation energy: -18.90 eV per formula unit
- Calculated volume: 880 Å³ per cell
- Mass density: 6.3 g cm⁻³

No. 5
Density functional theory data (GGA-PBE) for SrCa3Ac4Te8 after structural relaxation.

Lattice parameters (Å, degrees): 9.2394 9.2394 23.1279 90.00 90.00 120.00
Space group R-3m (No. 166, hexagonal axes)
One atom of each set of equivalent atoms:
1 Sr 0.0000 0.0000 0.0000 [3 per cell]
2 Ca 0.0000 0.5000 0.0000 [9 per cell]
3 Ac 0.0000 0.0000 0.5000 [3 per cell]
4 Ac 0.0000 0.5000 0.5000 [9 per cell]
5 Te 0.0000 0.0000 0.2559 [6 per cell]
6 Te 0.0056 0.5028 0.2546 [18 per cell]

- N(E_F): 0.40 states/eV/atom
- Total DFT energy (no corrections): -4.63 eV per atom
- Raw formation energy: -24.85 eV per formula unit
- Calculated volume: 1710 Å³ per cell
- Mass density: 6.2 g cm⁻³

No. 6
Density functional theory data (GGA-PBE) for SrCa2AcTe4 after structural relaxation.

Lattice parameters (Å, degrees): 8.0115 4.6197 8.0299 90.00 109.40 90.00
Space group P2/m (No. 10)
One atom of each set of equivalent atoms:
1 Sr 0.0000 0.0000 0.0000 [1 per cell]
2 Ca 0.5000 0.0000 0.5000 [1 per cell]
3 Ca 0.5000 0.5000 0.0000 [1 per cell]
4 Ac 0.0000 0.5000 0.5000 [1 per cell]
5 Te 0.2638 0.5000 0.2538 [2 per cell]
6 Te 0.2654 0.0000 0.7566 [2 per cell]

- N(E_F): 0.34 states/eV/atom
- Total DFT energy (no corrections): -4.41 eV per atom
- Raw formation energy: -12.90 eV per formula unit
- Calculated volume: 280 Å³ per cell
- Mass density: 5.4 g cm⁻³

No. 7
Density functional theory data (GGA-PBE) for Sr3Ca2AcTe6 after structural relaxation.

Lattice parameters (Å, degrees): 20.3853 4.6686 9.3627 90.00 103.43 90.00
Space group C2/m (No. 12)
One atom of each set of equivalent atoms:
1 Sr 0.0000 0.0000 0.0000 [2 per cell]
2 Sr 0.1662 0.5000 0.3295 [4 per cell]
3 Ca 0.1689 0.5000 0.8368 [4 per cell]
4 Ac 0.0000 0.0000 0.5000 [2 per cell]
5 Te 0.0037 0.5000 0.7546 [4 per cell]
6 Te 0.1674 0.0000 0.5916 [4 per cell]
7 Te 0.1691 0.0000 0.0750 [4 per cell]

- N(E_F): 0.23 states/eV/atom
- Total DFT energy (no corrections): -4.32 eV per atom
- Raw formation energy: -19.82 eV per formula unit
- Calculated volume: 867 Å³ per cell
- Mass density: 5.1 g cm⁻³

No. 8
Density functional theory data (GGA-PBE) for Sr4CaAc3Te8 after structural relaxation.

Lattice parameters (Å, degrees): 9.3945 9.3945 23.2188 90.00 90.00 120.00
Space group R-3m (No. 166, hexagonal axes)
One atom of each set of equivalent atoms:
1 Sr 0.0000 0.0000 0.0000 [3 per cell]
2 Sr 0.0000 0.5000 0.0000 [9 per cell]
3 Ca 0.0000 0.0000 0.5000 [3 per cell]
4 Ac 0.0000 0.5000 0.5000 [9 per cell]
5 Te 0.0000 0.0000 0.2516 [6 per cell]
6 Te 0.0076 0.5038 0.2492 [18 per cell]

- N(E_F): 0.30 states/eV/atom
- Total DFT energy (no corrections): -4.50 eV per atom
- Raw formation energy: -25.85 eV per formula unit
- Calculated volume: 1775 Å³ per cell
- Mass density: 5.9 g cm⁻³

No. 9
Density functional theory data (GGA-PBE) for Sr3CaAc3Te8 after structural relaxation.

Lattice parameters (Å, degrees): 9.4310 9.4310 23.2290 90.00 90.00 120.00
Space group R-3m (No. 166, hexagonal axes)
One atom of each set of equivalent atoms:
1 Sr 0.0000 0.5000 0.0000 [9 per cell]
2 Ca 0.0000 0.0000 0.5000 [3 per cell]
3 Ac 0.0000 0.5000 0.5000 [9 per cell]
4 Te 0.0000 0.0000 0.2508 [6 per cell]
5 Te 0.0081 0.5041 0.2472 [18 per cell]

- N(E_F): 0.29 states/eV/atom
- Total DFT energy (no corrections): -4.58 eV per atom
- Raw formation energy: -24.22 eV per formula unit
- Calculated volume: 1789 Å³ per cell
- Mass density: 5.6 g cm⁻³

No. 10
Density functional theory data (GGA-PBE) for Sr2CaAcTe4 after structural relaxation.

Lattice parameters (Å, degrees): 8.1136 4.6809 8.1410 90.00 109.41 90.00
Space group P2/m (No. 10)
One atom of each set of equivalent atoms:
1 Sr 0.0000 0.0000 0.0000 [1 per cell]
2 Sr 0.5000 0.5000 0.0000 [1 per cell]
3 Ca 0.0000 0.5000 0.5000 [1 per cell]
4 Ac 0.5000 0.0000 0.5000 [1 per cell]
5 Te 0.2404 0.0000 0.7419 [2 per cell]
6 Te 0.2433 0.5000 0.2520 [2 per cell]

- N(E_F): 0.35 states/eV/atom
- Total DFT energy (no corrections): -4.39 eV per atom
- Raw formation energy: -13.08 eV per formula unit
- Calculated volume: 292 Å³ per cell
- Mass density: 5.4 g cm⁻³

No. 11
Density functional theory data (GGA-PBE) for SrCaAc2Te4 after structural relaxation.

Lattice parameters (Å, degrees): 8.0566 4.6493 8.1972 90.00 109.11 90.00
Space group P2/m (No. 10)
One atom of each set of equivalent atoms:
1 Sr 0.0000 0.0000 0.0000 [1 per cell]
2 Ca 0.5000 0.5000 0.0000 [1 per cell]
3 Ac 0.0000 0.5000 0.5000 [1 per cell]
4 Ac 0.5000 0.0000 0.5000 [1 per cell]
5 Te 0.2524 0.5000 0.2408 [2 per cell]
6 Te 0.2600 0.0000 0.7632 [2 per cell]

- N(E_F): 0.48 states/eV/atom
- Total DFT energy (no corrections): -4.62 eV per atom
- Raw formation energy: -12.51 eV per formula unit
- Calculated volume: 290 Å³ per cell
- Mass density: 6.3 g cm⁻³

No. 12
Density functional theory data (GGA-PBE) for Sr2CaAcTl4 after structural relaxation.

Lattice parameters (Å, degrees): 5.7490 5.7490 28.2722 90.00 90.00 120.00
Space group R-3m (No. 166, hexagonal axes)
One atom of each set of equivalent atoms:
1 Sr 0.0000 0.0000 0.2471 [6 per cell]
2 Ca 0.0000 0.0000 0.5000 [3 per cell]
3 Ac 0.0000 0.0000 0.0000 [3 per cell]
4 Tl 0.0000 0.0000 0.1260 [6 per cell]
5 Tl 0.0000 0.0000 0.3765 [6 per cell]

- N(E_F): 0.77 states/eV/atom
- Total DFT energy (no corrections): -2.77 eV per atom
- ΔH_f (0 K): -0.4062 eV/atom
- Calculated volume: 809 Å³ per cell
- Mass density: 7.8 g cm⁻³

no.,total moment (Bohr magnetons per cell)
1,0.00
2,0.00
3,0.00
4,0.00
5,0.00
6,0.00
7,0.00
8,0.00
9,0.00
10,0.00
11,0.00
12,0.00